Record 1
The following is a meta-GGA SCAN calculation of a crystal of MnSiSCl2 relaxed with PBEsol, from the Alexandria database.

Geometry as POSCAR:
```
MnSiSCl2
1.0
4.7149 0.0000 0.0000
0.0000 4.6290 0.0000
0.0000 0.0000 4.6290
S Mn Si Cl
1 1 1 2
Direct
0.5000 0.0000 0.0000
0.5000 0.5000 0.5000
0.0000 0.0000 0.0000
0.0000 0.0000 0.5000
0.0000 0.5000 0.0000
```

Output
formation energy (no corrections)	-0.206	eV/atom
volume	101.0	Å³/f.u.
SG	P4/mmm

=====

Record 2
The following is a meta-GGA SCAN calculation of a crystal of TaMnSCl2 relaxed with PBEsol, from the Alexandria database.

Geometry as POSCAR:
```
TaMnSCl2
1.0
4.4903 0.0000 0.0000
0.0000 4.4903 0.0000
0.0000 0.0000 4.7494
Cl S Mn Ta
2 1 1 1
Direct
0.0000 0.5000 0.0000
0.5000 0.0000 0.0000
0.0000 0.0000 0.5000
0.0000 0.0000 0.0000
0.5000 0.5000 0.5000
```

Output
formation energy (no corrections)	0.268	eV/atom
volume	95.8	Å³/f.u.
SG	P4/mmm

=====

Record 3
The following is a meta-GGA SCAN calculation of a crystal of MnTeSCl2 relaxed with PBEsol, from the Alexandria database.

Geometry as POSCAR:
```
MnTeSCl2
1.0
5.1267 0.0000 0.0000
0.0000 5.2504 0.0000
0.0000 0.0000 5.2504
S Te Mn Cl
1 1 1 2
Direct
0.5000 0.0000 0.0000
0.0000 0.0000 0.0000
0.5000 0.5000 0.5000
0.0000 0.0000 0.5000
0.0000 0.5000 0.0000
```

Output
formation energy (no corrections)	0.029	eV/atom
volume	141.3	Å³/f.u.
SG	P4/mmm

=====

Record 4
The following is a meta-GGA SCAN calculation of a crystal of MnZnSCl2 relaxed with PBEsol, from the Alexandria database.

Geometry as POSCAR:
```
MnZnSCl2
1.0
4.5793 0.0000 0.0000
0.0000 4.5793 0.0000
0.0000 0.0000 4.9343
Zn Mn S Cl
1 1 1 2
Direct
0.0000 0.0000 0.0000
0.5000 0.5000 0.5000
0.0000 0.0000 0.5000
0.0000 0.5000 0.0000
0.5000 0.0000 0.0000
```

Output
formation energy (no corrections)	-0.465	eV/atom
volume	103.5	Å³/f.u.
SG	P4/mmm

=====

Record 5
The following is a meta-GGA SCAN calculation of a crystal of Mn2SbCl relaxed with PBEsol, from the Alexandria database.

Geometry as POSCAR:
```
Mn2SbCl
1.0
3.6724 0.0045 0.0000
-0.0041 4.1886 0.0000
0.0000 0.0000 5.3288
Sb Mn Cl
1 2 1
Direct
0.3752 0.5761 0.0000
0.8750 0.0719 0.0000
0.3748 0.7271 0.5000
0.8750 0.1248 0.5000
```

Output
formation energy (no corrections)	-0.447	eV/atom
volume	82.0	Å³/f.u.
SG	Pmm2

=====

Record 6
The following is a meta-GGA SCAN calculation of a crystal of Mn2SbCl relaxed with PBEsol, from the Alexandria database.

Geometry as POSCAR:
```
Mn2SbCl
1.0
3.0228 0.0000 0.0000
0.0000 3.0228 0.0000
0.0000 0.0000 8.2505
Sb Mn Cl
1 2 1
Direct
0.0000 0.0000 0.4343
0.0000 0.0000 0.0197
0.5000 0.5000 0.2019
0.5000 0.5000 0.8442
```

Output
formation energy (no corrections)	-0.369	eV/atom
volume	75.4	Å³/f.u.
SG	P4mm

=====

Record 7
The following is a meta-GGA SCAN calculation of a crystal of Mn3SbCl relaxed with PBEsol, from the Alexandria database.

Geometry as POSCAR:
```
Mn3SbCl
1.0
4.2337 0.0000 0.0000
0.0000 4.2337 0.0000
0.0000 0.0000 4.2337
Sb Mn Cl
1 3 1
Direct
0.5000 0.5000 0.5000
0.0000 0.5000 0.0000
0.0000 0.0000 0.5000
0.5000 0.0000 0.0000
0.0000 0.0000 0.0000
```

Output
formation energy (no corrections)	0.478	eV/atom
volume	75.9	Å³/f.u.
SG	Pm-3m

=====

Record 8
The following is a meta-GGA SCAN calculation of a crystal of MnSbCl2 relaxed with PBEsol, from the Alexandria database.

Geometry as POSCAR:
```
MnSbCl2
1.0
3.3748 0.0000 0.0000
1.6874 2.9227 0.0000
1.6874 0.9742 10.6151
Sb Mn Cl
1 1 2
Direct
0.0000 0.0000 0.0000
0.5000 0.5000 0.5000
0.2139 0.2139 0.3582
0.7861 0.7861 0.6418
```

Output
formation energy (no corrections)	-0.865	eV/atom
volume	104.7	Å³/f.u.
SG	R-3m